[1]
## LaZnPd (PBE)

Data for a relaxed LaZnPd crystal.

abc: 7.205 4.460 8.143
angles: 90.00 90.00 90.00
Space group Pnma (No. 62)
One atom of each set of equivalent atoms:
La  0.032  0.250  0.194 [4 per cell]
Zn  0.153  0.250  0.570 [4 per cell]
Pd  0.228  0.750  0.394 [4 per cell]

Output
- E_tot (eV/atom) = -4.504
- energy of formation (kJ/mol of atoms) = -69.1

***

[2]
## LaZnPd (PBE)

Data for a relaxed LaZnPd crystal.

abc: 6.722 6.722 6.722
angles: 90.00 90.00 90.00
Space group F-43m (No. 216)
One atom of each set of equivalent atoms:
La  0.000  0.000  0.000 [4 per cell]
Zn  0.000  0.000  0.500 [4 per cell]
Pd  0.250  0.250  0.250 [4 per cell]

Output
- E_tot (eV/atom) = -4.327
- energy of formation (kJ/mol of atoms) = -52.0

***

[3]
## LaZnPd (PBE)

Data for a relaxed LaZnPd crystal.

abc: 3.088 14.923 8.652
angles: 90.00 90.00 90.00
Space group Amm2 (No. 38)
One atom of each set of equivalent atoms:
La  0.000  0.000  0.000 [2 per cell]
La  0.000  0.166  0.500 [4 per cell]
Zn  0.000  0.000  0.332 [2 per cell]
Zn  0.000  0.167  0.833 [4 per cell]
Pd  0.500  0.000  0.670 [2 per cell]
Pd  0.500  0.168  0.166 [4 per cell]

Output
- E_tot (eV/atom) = -3.924
- energy of formation (kJ/mol of atoms) = -13.2

***

[4]
## La3Zn4Pd4 (PBE)

Data for a relaxed La3Zn4Pd4 crystal.

abc: 4.219 7.477 14.475
angles: 90.00 90.00 90.00
Space group Immm (No. 71)
One atom of each set of equivalent atoms:
La  0.000  0.000  0.000 [2 per cell]
La  0.000  0.500  0.129 [4 per cell]
Zn  0.000  0.309  0.327 [8 per cell]
Pd  0.000  0.000  0.216 [4 per cell]
Pd  0.000  0.196  0.500 [4 per cell]

Output
- E_tot (eV/atom) = -4.396
- energy of formation (kJ/mol of atoms) = -68.7

***

[5]
## LaZrPd (PBE)

Data for a relaxed LaZrPd crystal.

abc: 6.878 6.878 6.878
angles: 90.00 90.00 90.00
Space group F-43m (No. 216)
One atom of each set of equivalent atoms:
La  0.000  0.000  0.000 [4 per cell]
Zr  0.000  0.000  0.500 [4 per cell]
Pd  0.250  0.250  0.250 [4 per cell]

Output
- E_tot (eV/atom) = -6.279
- energy of formation (kJ/mol of atoms) = -6.1

***

[6]
## LaZrPd2 (PBE)

Data for a relaxed LaZrPd2 crystal.

abc: 4.565 3.605 10.743
angles: 90.00 90.00 90.00
Space group Amm2 (No. 38)
One atom of each set of equivalent atoms:
La  0.000  0.000  0.000 [2 per cell]
Zr  0.500  0.000  0.723 [2 per cell]
Pd  0.000  0.000  0.266 [2 per cell]
Pd  0.500  0.000  0.442 [2 per cell]

Output
- E_tot (eV/atom) = -6.599
- energy of formation (kJ/mol of atoms) = -62.2

***

[7]
## La2Pm (PBE)

Data for a relaxed La2Pm crystal.

abc: 12.898 12.898 12.898
angles: 90.00 90.00 90.00
Space group Fd-3m (No. 227, origin choice 2)
One atom of each set of equivalent atoms:
La  0.000  0.000  0.000 [16 per cell]
Pm  0.125  0.125  0.125 [8 per cell]

Output
- E_tot (eV/atom) = -3.107
- energy of formation (kJ/mol of atoms) = 169.5

***

[8]
## LaPmPt (PBE)

Data for a relaxed LaPmPt crystal.

abc: 6.870 6.870 6.870
angles: 90.00 90.00 90.00
Space group F-43m (No. 216)
One atom of each set of equivalent atoms:
La  0.000  0.000  0.000 [4 per cell]
Pm  0.250  0.250  0.250 [4 per cell]
Pt  0.000  0.000  0.500 [4 per cell]

Output
- E_tot (eV/atom) = -5.472
- energy of formation (kJ/mol of atoms) = -22.3